No. 1
Computed, not measured: Cs2NiH12S2O14 after structural relaxation at the PBEsol level of DFT.

a = 6.3148 Å, b = 12.5851 Å, c = 9.0813 Å
α = 90.00°, β = 106.51°, γ = 90.00°
Element x y z (fractional)
Cs  0.1490  0.1464  0.3671
Cs  0.1490  0.3536  0.8671
Cs  0.8510  0.6464  0.1329
Cs  0.8510  0.8536  0.6329
Ni  0.5000  0.0000  0.0000
Ni  0.5000  0.5000  0.5000
H  0.1663  0.5579  0.5985
H  0.1663  0.9421  0.0985
H  0.1828  0.0967  0.7941
H  0.1828  0.4033  0.2941
H  0.1923  0.6404  0.4744
H  0.1923  0.8596  0.9744
H  0.4187  0.1291  0.7641
H  0.4187  0.3709  0.2641
H  0.4213  0.5933  0.2209
H  0.4213  0.9067  0.7209
H  0.4840  0.6829  0.3506
H  0.4840  0.8171  0.8506
H  0.5160  0.1829  0.1494
H  0.5160  0.3171  0.6494
H  0.5787  0.0933  0.2791
H  0.5787  0.4067  0.7791
H  0.5813  0.6291  0.7359
H  0.5813  0.8709  0.2359
H  0.8077  0.1404  0.0256
H  0.8077  0.3596  0.5256
H  0.8172  0.5967  0.7059
H  0.8172  0.9033  0.2059
H  0.8337  0.0579  0.9015
H  0.8337  0.4421  0.4015
S  0.2392  0.6449  0.8965
S  0.2392  0.8551  0.3965
S  0.7608  0.1449  0.6035
S  0.7608  0.3551  0.1035
O  0.0980  0.5830  0.7642
O  0.0980  0.9170  0.2642
O  0.1116  0.7383  0.9236
O  0.1116  0.7617  0.4236
O  0.2062  0.5627  0.4999
O  0.2062  0.9373  0.9999
O  0.2983  0.5753  0.0337
O  0.2983  0.9247  0.5337
O  0.3424  0.1132  0.8440
O  0.3424  0.3868  0.3440
O  0.4425  0.6823  0.8586
O  0.4425  0.8177  0.3586
O  0.4870  0.1071  0.1711
O  0.4870  0.3929  0.6711
O  0.5130  0.6071  0.3289
O  0.5130  0.8929  0.8289
O  0.5575  0.1823  0.6414
O  0.5575  0.3177  0.1414
O  0.6576  0.6132  0.6560
O  0.6576  0.8868  0.1560
O  0.7017  0.0753  0.4663
O  0.7017  0.4247  0.9663
O  0.7938  0.0627  0.0001
O  0.7938  0.4373  0.5001
O  0.8884  0.2383  0.5764
O  0.8884  0.2617  0.0764
O  0.9020  0.0830  0.7358
O  0.9020  0.4170  0.2358

Output
- Final energy: -170.07 eV per formula unit
- Space-group type: No. 14
- Density of states at the Fermi level: 0.00 states/eV/cell

No. 2
Computed, not measured: BeRePb after structural relaxation at the PBEsol level of DFT.

a = 2.9965 Å, b = 2.9965 Å, c = 6.4902 Å
α = 90.00°, β = 90.00°, γ = 120.00°
Element x y z (fractional)
Be  0.0000  0.0000  0.0000
Re  0.6667  0.3333  0.2500
Pb  0.3333  0.6667  0.6225

Output
- Final energy: -18.78 eV per formula unit
- Space-group type: No. 156
- Density of states at the Fermi level: 3.19 states/eV/cell

No. 3
Computed, not measured: Sr2HSe after structural relaxation at the PBEsol level of DFT.

a = 7.2583 Å, b = 7.2583 Å, c = 7.7122 Å
α = 90.00°, β = 90.00°, γ = 90.00°
Element x y z (fractional)
Sr  0.1929  0.7500  0.1250
Sr  0.2500  0.1929  0.8750
Sr  0.2500  0.3071  0.3750
Sr  0.3071  0.7500  0.6250
Sr  0.6929  0.2500  0.6250
Sr  0.7500  0.6929  0.3750
Sr  0.7500  0.8071  0.8750
Sr  0.8071  0.2500  0.1250
H  0.0000  0.0000  0.0000
H  0.0000  0.5000  0.2500
H  0.5000  0.0000  0.7500
H  0.5000  0.5000  0.5000
Se  0.0000  0.0000  0.5000
Se  0.0000  0.5000  0.7500
Se  0.5000  0.0000  0.2500
Se  0.5000  0.5000  0.0000

Output
- Final energy: -14.85 eV per formula unit
- Space-group type: No. 122
- Density of states at the Fermi level: 4.13 states/eV/cell

No. 4
Computed, not measured: Zr2MnSeS after structural relaxation at the PBEsol level of DFT.

a = 4.8555 Å, b = 4.8555 Å, c = 3.9595 Å
α = 90.00°, β = 90.00°, γ = 90.00°
Element x y z (fractional)
Zr  0.0000  0.5000  0.0000
Zr  0.5000  0.0000  0.0000
Mn  0.0000  0.0000  0.5000
Se  0.5000  0.5000  0.5000
S  0.0000  0.0000  0.0000

Output
- Final energy: -38.41 eV per formula unit
- Space-group type: No. 123
- Raw formation energy: -0.446 eV per atom
- Density of states at the Fermi level: 3.42 states/eV/cell

No. 5
Computed, not measured: Fe2AsH2 after structural relaxation at the PBEsol level of DFT.

a = 2.8919 Å, b = 2.8919 Å, c = 9.6761 Å
α = 90.00°, β = 90.00°, γ = 90.00°
Element x y z (fractional)
Fe  0.0000  0.0000  0.1488
Fe  0.0000  0.0000  0.8512
Fe  0.5000  0.5000  0.3512
Fe  0.5000  0.5000  0.6488
As  0.0000  0.0000  0.5000
As  0.5000  0.5000  0.0000
H  0.0000  0.5000  0.2500
H  0.0000  0.5000  0.7500
H  0.5000  0.0000  0.2500
H  0.5000  0.0000  0.7500

Output
- Final energy: -29.52 eV per formula unit
- Space-group type: No. 139
- Density of states at the Fermi level: 6.77 states/eV/cell

No. 6
Computed, not measured: Y7C3I6O after structural relaxation at the PBEsol level of DFT.

a = 22.2084 Å, b = 3.8017 Å, c = 11.2603 Å
α = 90.00°, β = 90.00°, γ = 90.00°
Element x y z (fractional)
Y  0.0292  0.0000  0.1394
Y  0.1066  0.5000  0.9393
Y  0.1644  0.5000  0.2089
Y  0.2500  0.0000  0.0217
Y  0.3356  0.5000  0.2089
Y  0.3934  0.5000  0.9393
Y  0.4708  0.0000  0.1394
Y  0.5292  0.0000  0.8606
Y  0.6066  0.5000  0.0607
Y  0.6644  0.5000  0.7911
Y  0.7500  0.0000  0.9783
Y  0.8356  0.5000  0.7911
Y  0.8934  0.5000  0.0607
Y  0.9708  0.0000  0.8606
C  0.0000  0.5000  0.0000
C  0.1368  0.0000  0.0804
C  0.3632  0.0000  0.0804
C  0.5000  0.5000  0.0000
C  0.6368  0.0000  0.9196
C  0.8632  0.0000  0.9196
I  0.0546  0.5000  0.3607
I  0.0946  0.0000  0.7271
I  0.2500  0.0000  0.3766
I  0.2500  0.5000  0.8104
I  0.4054  0.0000  0.7271
I  0.4454  0.5000  0.3607
I  0.5546  0.5000  0.6393
I  0.5946  0.0000  0.2729
I  0.7500  0.0000  0.6234
I  0.7500  0.5000  0.1896
I  0.9054  0.0000  0.2729
I  0.9454  0.5000  0.6393
O  0.2500  0.5000  0.1189
O  0.7500  0.5000  0.8811

Output
- Final energy: -114.90 eV per formula unit
- Space-group type: No. 51
- Raw formation energy: -1.315 eV per atom
- Density of states at the Fermi level: 7.19 states/eV/cell

No. 7
Computed, not measured: Mg2POs after structural relaxation at the PBEsol level of DFT.

a = 3.7356 Å, b = 3.7356 Å, c = 8.3960 Å
α = 90.00°, β = 90.00°, γ = 90.00°
Element x y z (fractional)
Mg  0.0000  0.5000  0.2500
Mg  0.0000  0.5000  0.7500
Mg  0.5000  0.0000  0.2500
Mg  0.5000  0.0000  0.7500
P  0.0000  0.0000  0.0000
P  0.5000  0.5000  0.5000
Os  0.0000  0.0000  0.5000
Os  0.5000  0.5000  0.0000

Output
- Final energy: -21.02 eV per formula unit
- Space-group type: No. 139
- Density of states at the Fermi level: 4.85 states/eV/cell

No. 8
Computed, not measured: SnSbTe2I after structural relaxation at the PBEsol level of DFT.

a = 5.6473 Å, b = 5.6473 Å, c = 5.5771 Å
α = 90.00°, β = 90.00°, γ = 90.00°
Element x y z (fractional)
Sn  0.0000  0.0000  0.0000
Sb  0.5000  0.5000  0.5000
Te  0.0000  0.5000  0.0000
Te  0.5000  0.0000  0.0000
I  0.0000  0.0000  0.5000

Output
- Final energy: -15.18 eV per formula unit
- Space-group type: No. 123
- Raw formation energy: 0.490 eV per atom
- Density of states at the Fermi level: 3.41 states/eV/cell